# Al2ZnP

A PBEsol-optimized structure of Al2ZnP (SCAN, Alexandria via LeMat-Bulk).

Geometry as POSCAR:
```
Al2ZnP
1.0
2.8647 0.0000 0.0000
1.4323 2.4809 0.0000
1.4323 0.8270 8.6444
P Al Zn
1 2 1
direct
0.4986 0.4986 0.5043
0.9994 0.9994 0.0019
0.7542 0.7542 0.7375
0.2479 0.2479 0.2562
```

Summary:
As for the final energy: -0.70934 Ry per atom. The size of the total moment is 0.00 μB/atom. As for the formation energy: 0.20 eV/atom. As for the excess energy over the best structure of this formula in the dataset: 115 meV per atom.